No. 1
# ErSnIrRh

Crystalline ErSnIrRh at its relaxed geometry (GGA-PBE, Alexandria via LeMat-Bulk).

```
ErSnIrRh
1.0
4.689 0.000 0.000
2.344 4.061 0.000
2.344 1.354 3.829
Ir Rh Sn Er
1 1 1 1
direct
0.500 0.500 0.500 Ir
0.000 0.000 0.000 Rh
0.250 0.250 0.250 Sn
0.750 0.750 0.750 Er
```

## Properties
SG   No. 216
Mass density   13.24 g cm⁻³
Formation energy   -0.698 eV/atom
Total energy   -6.892 eV per atom
M_tot   0.0 Bohr magnetons per cell
Crystal system   cubic

=====

No. 2
# POs2Pt

Crystalline POs2Pt at its relaxed geometry (GGA-PBE, Alexandria via LeMat-Bulk).

```
POs2Pt
1.0
-0.992 2.586 0.382
-0.349 -0.684 3.730
5.177 1.864 0.827
P Os Pt
1 2 1
direct
0.000 0.000 0.455 P
0.000 0.000 0.032 Os
0.500 0.500 0.249 Os
0.500 0.500 0.764 Pt
```

## Properties
SG   No. 25
Mass density   17.00 g cm⁻³
Formation energy   0.277 eV/atom
Total energy   -8.201 eV per atom
M_tot   0.0 Bohr magnetons per cell
Crystal system   orthorhombic

=====

No. 3
# CaMo3

Crystalline CaMo3 at its relaxed geometry (GGA-PBE, Alexandria via LeMat-Bulk).

```
CaMo3
1.0
4.783 0.000 0.000
0.000 4.783 0.000
0.000 0.000 3.085
Mo Ca
3 1
direct
0.500 0.000 0.500 Mo
0.500 0.500 0.000 Mo
0.000 0.500 0.500 Mo
0.000 0.000 0.000 Ca
```

## Properties
Excess energy over the best structure of this formula in the dataset   0.351 eV per atom
SG   No. 123
Mass density   7.72 g cm⁻³
Formation energy   0.825 eV/atom
Total energy   -7.799 eV per atom
M_tot   0.0 Bohr magnetons per cell
Crystal system   tetragonal

=====

No. 4
# TlMoPb2

Crystalline TlMoPb2 at its relaxed geometry (GGA-PBE, Alexandria via LeMat-Bulk).

```
TlMoPb2
1.0
4.459 0.000 0.000
0.000 4.459 0.000
2.230 2.230 10.856
Pb Tl Mo
4 2 2
direct
0.615 0.125 0.250 Pb
0.135 0.625 0.250 Pb
0.375 0.385 0.750 Pb
0.875 0.865 0.750 Pb
0.000 0.000 0.000 Tl
0.750 0.250 0.500 Tl
0.500 0.500 0.000 Mo
0.250 0.750 0.500 Mo
```

## Properties
Excess energy over the best structure of this formula in the dataset   0.399 eV per atom
SG   No. 122
Mass density   11.00 g cm⁻³
Formation energy   0.861 eV/atom
Total energy   -4.293 eV per atom
M_tot   5.0 Bohr magnetons per cell
Crystal system   tetragonal

=====

No. 5
# Pu2Mg2Pd3

Crystalline Pu2Mg2Pd3 at its relaxed geometry (GGA-PBE, Alexandria via LeMat-Bulk).

```
Pu2Mg2Pd3
1.0
4.570 -0.003 -0.002
-2.280 6.524 1.052
0.002 0.460 5.240
Pu Mg Pd
2 2 3
direct
0.874 0.749 0.597 Pu
0.126 0.251 0.403 Pu
0.615 0.230 0.902 Mg
0.385 0.770 0.098 Mg
0.000 0.000 0.000 Pd
0.768 0.536 0.172 Pd
0.232 0.464 0.828 Pd
```

## Properties
SG   No. 12
Mass density   9.23 g cm⁻³
Formation energy   -0.368 eV/atom
Total energy   -7.144 eV per atom
M_tot   11.4 Bohr magnetons per cell
Crystal system   monoclinic

=====

No. 6
# NdDy3Tl

Crystalline NdDy3Tl at its relaxed geometry (GGA-PBE, Alexandria via LeMat-Bulk).

```
NdDy3Tl
1.0
4.757 0.000 1.087
0.000 4.844 0.000
-0.465 0.000 12.985
Nd Dy Tl
2 6 2
direct
0.472 0.750 0.704 Nd
0.176 0.250 0.296 Nd
0.773 0.250 0.102 Dy
0.371 0.250 0.906 Dy
0.575 0.250 0.499 Dy
0.277 0.750 0.094 Dy
0.875 0.750 0.898 Dy
0.074 0.750 0.501 Dy
0.670 0.750 0.308 Tl
0.978 0.250 0.692 Tl
```

## Properties
Excess energy over the best structure of this formula in the dataset   0.000 eV per atom
SG   No. 63
Mass density   9.21 g cm⁻³
Formation energy   -0.117 eV/atom
Total energy   -4.305 eV per atom
M_tot   0.0 Bohr magnetons per cell
Crystal system   orthorhombic

=====

No. 7
# CsSn3Hg

Crystalline CsSn3Hg at its relaxed geometry (GGA-PBE, Alexandria via LeMat-Bulk).

```
CsSn3Hg
1.0
-1.565 3.655 -5.001
-6.000 -2.176 0.288
-1.538 4.768 3.965
Cs Hg Sn
1 1 3
direct
0.000 0.000 0.000 Cs
0.500 0.500 0.500 Hg
0.000 0.500 0.000 Sn
0.000 0.000 0.500 Sn
0.500 0.000 0.000 Sn
```

## Properties
Excess energy over the best structure of this formula in the dataset   1.446 eV per atom
SG   No. 221
Mass density   4.39 g cm⁻³
Formation energy   1.309 eV/atom
Total energy   -1.324 eV per atom
M_tot   0.0 Bohr magnetons per cell
Crystal system   cubic

=====

No. 8
# SmTlGe2Br8

Crystalline SmTlGe2Br8 at its relaxed geometry (GGA-PBE, Alexandria via LeMat-Bulk).

```
SmTlGe2Br8
1.0
7.282 0.197 0.259
0.260 6.708 0.102
0.333 0.139 9.308
Sm Tl Ge Br
1 1 2 8
direct
0.000 0.000 0.000 Sm
0.000 0.000 0.500 Tl
0.456 0.458 0.755 Ge
0.544 0.542 0.245 Ge
0.180 0.767 0.215 Br
0.678 0.759 0.030 Br
0.853 0.266 0.223 Br
0.820 0.233 0.785 Br
0.322 0.241 0.970 Br
0.147 0.734 0.777 Br
0.640 0.729 0.447 Br
0.360 0.271 0.553 Br
```

## Properties
SG   No. 2
Mass density   4.17 g cm⁻³
Total energy   -3.491 eV per atom
M_tot   0.0 Bohr magnetons per cell
Crystal system   triclinic